Material: Ta14VOs
Method: DFT, PBE
State: optimized geometry

a b c (Å): 5.6950 5.6950 9.2662
angles (deg): 90.00 90.00 109.28
Fractional positions:
Ta: 0.3747 0.1247 0.2617
Ta: 0.6250 0.3750 0.0000
Ta: 0.8729 0.1271 0.2504
Ta: 0.1250 0.8750 0.0000
V: 0.6250 0.3750 0.5000
Ta: 0.3771 0.6229 0.2504
Ta: 0.6250 0.8750 0.0000
Ta: 0.1250 0.3750 0.0000
Ta: 0.6249 0.8750 0.5000
Ta: 0.3771 0.6229 0.7496
Ta: 0.8729 0.1271 0.7496
Ta: 0.8753 0.6253 0.2617
Ta: 0.8753 0.6253 0.7383
Os: 0.1250 0.8750 0.5000
Ta: 0.1250 0.3751 0.5000
Ta: 0.3747 0.1247 0.7383

Results
Formation energy (eV/atom): -0.07
Total DFT energy (no corrections) (eV per cell): -187.4